[1]
Density functional theory data (PBE) for a relaxed structure of NaTl2Ru.

```
data_NaTl2Ru
_chemical_formula_sum 'Na1 Tl2 Ru1'
_space_group_name_H-M_alt 'P 1'
_space_group_IT_number 1
_space_group_name_Hall 'P 1'
_cell_length_a 4.885
_cell_length_b 4.885
_cell_length_c 4.885
_cell_angle_alpha 60.00
_cell_angle_beta 60.00
_cell_angle_gamma 60.00
loop_
_atom_site_label
_atom_site_fract_x
_atom_site_fract_y
_atom_site_fract_z
Na1 0.000 0.000 0.000
Tl1 0.250 0.250 0.250
Tl2 0.750 0.750 0.750
Ru1 0.500 0.500 0.500
```

The value obtained for the energy is -3.4750 eV/atom. As for the density: 10.735 g cm⁻³. Its formation energy from the elements is 356.9 meV/atom.

---

[2]
Density functional theory data (PBE) for a relaxed structure of Na2TlVRu.

```
data_Na2TlVRu
_chemical_formula_sum 'Na2 Tl1 V1 Ru1'
_space_group_name_H-M_alt 'P 1'
_space_group_IT_number 1
_space_group_name_Hall 'P 1'
_cell_length_a 5.582
_cell_length_b 5.582
_cell_length_c 4.419
_cell_angle_alpha 90.00
_cell_angle_beta 90.00
_cell_angle_gamma 90.00
loop_
_atom_site_label
_atom_site_fract_x
_atom_site_fract_y
_atom_site_fract_z
Na1 0.000 0.500 0.000
Na2 0.500 0.000 0.000
Tl1 0.000 0.000 0.500
V1 0.500 0.500 0.500
Ru1 0.500 0.500 0.000
```

The value obtained for the energy is -3.8817 eV/atom. As for the density: 4.853 g cm⁻³. Its formation energy from the elements is 798.1 meV/atom.

---

[3]
Density functional theory data (PBE) for a relaxed structure of NaTm2Ru.

```
data_NaTm2Ru
_chemical_formula_sum 'Na1 Tm2 Ru1'
_space_group_name_H-M_alt 'P 1'
_space_group_IT_number 1
_space_group_name_Hall 'P 1'
_cell_length_a 3.367
_cell_length_b 3.367
_cell_length_c 9.328
_cell_angle_alpha 90.00
_cell_angle_beta 90.00
_cell_angle_gamma 90.00
loop_
_atom_site_label
_atom_site_fract_x
_atom_site_fract_y
_atom_site_fract_z
Na1 0.000 0.000 0.000
Tm1 0.500 0.500 0.327
Tm2 0.500 0.500 0.673
Ru1 0.000 0.000 0.500
```

The value obtained for the energy is -5.1492 eV/atom. As for the density: 7.255 g cm⁻³. Its formation energy from the elements is -264.7 meV/atom.

---

[4]
Density functional theory data (PBE) for a relaxed structure of NaTm3Ru.

```
data_NaTm3Ru
_chemical_formula_sum 'Na1 Tm3 Ru1'
_space_group_name_H-M_alt 'P 1'
_space_group_IT_number 1
_space_group_name_Hall 'P 1'
_cell_length_a 5.360
_cell_length_b 5.360
_cell_length_c 5.360
_cell_angle_alpha 90.00
_cell_angle_beta 90.00
_cell_angle_gamma 90.00
loop_
_atom_site_label
_atom_site_fract_x
_atom_site_fract_y
_atom_site_fract_z
Na1 0.000 0.000 0.000
Tm1 0.000 0.500 0.500
Tm2 0.500 0.000 0.500
Tm3 0.500 0.500 0.000
Ru1 0.500 0.500 0.500
```

The value obtained for the energy is -4.8825 eV/atom. As for the density: 6.801 g cm⁻³. Its formation energy from the elements is -80.6 meV/atom.

---

[5]
Density functional theory data (PBE) for a relaxed structure of NaVRu2.

```
data_NaVRu2
_chemical_formula_sum 'Na2 V2 Ru4'
_space_group_name_H-M_alt 'P 1'
_space_group_IT_number 1
_space_group_name_Hall 'P 1'
_cell_length_a 5.646
_cell_length_b 5.646
_cell_length_c 5.646
_cell_angle_alpha 103.60
_cell_angle_beta 103.60
_cell_angle_gamma 121.98
loop_
_atom_site_label
_atom_site_fract_x
_atom_site_fract_y
_atom_site_fract_z
Na1 0.000 0.000 0.000
Na2 0.750 0.250 0.500
V1 0.250 0.750 0.500
V2 0.500 0.500 0.000
Ru1 0.179 0.625 0.054
Ru2 0.375 0.429 0.554
Ru3 0.571 0.125 0.946
Ru4 0.875 0.821 0.446
```

The value obtained for the energy is -6.5324 eV/atom. As for the offset from the most stable computed form: 0.2270 eV/atom. As for the density: 6.866 g cm⁻³. Its formation energy from the elements is 714.9 meV/atom.

---

[6]
Density functional theory data (PBE) for a relaxed structure of NaV2Ru2.

```
data_NaV2Ru2
_chemical_formula_sum 'Na2 V4 Ru4'
_space_group_name_H-M_alt 'P 1'
_space_group_IT_number 1
_space_group_name_Hall 'P 1'
_cell_length_a 7.451
_cell_length_b 7.451
_cell_length_c 2.804
_cell_angle_alpha 90.00
_cell_angle_beta 90.00
_cell_angle_gamma 90.00
loop_
_atom_site_label
_atom_site_fract_x
_atom_site_fract_y
_atom_site_fract_z
Na1 0.000 0.000 0.000
Na2 0.500 0.500 0.000
V1 0.145 0.355 0.500
V2 0.355 0.855 0.500
V3 0.645 0.145 0.500
V4 0.855 0.645 0.500
Ru1 0.144 0.644 0.000
Ru2 0.356 0.144 0.000
Ru3 0.644 0.856 0.000
Ru4 0.856 0.356 0.000
```

The value obtained for the energy is -7.4711 eV/atom. As for the density: 6.975 g cm⁻³. Its formation energy from the elements is 150.5 meV/atom.

---

What did the third record say?
Density functional theory data (PBE) for a relaxed structure of NaTm2Ru.

```
data_NaTm2Ru
_chemical_formula_sum 'Na1 Tm2 Ru1'
_space_group_name_H-M_alt 'P 1'
_space_group_IT_number 1
_space_group_name_Hall 'P 1'
_cell_length_a 3.367
_cell_length_b 3.367
_cell_length_c 9.328
_cell_angle_alpha 90.00
_cell_angle_beta 90.00
_cell_angle_gamma 90.00
loop_
_atom_site_label
_atom_site_fract_x
_atom_site_fract_y
_atom_site_fract_z
Na1 0.000 0.000 0.000
Tm1 0.500 0.500 0.327
Tm2 0.500 0.500 0.673
Ru1 0.000 0.000 0.500
```

The value obtained for the energy is -5.1492 eV/atom. As for the density: 7.255 g cm⁻³. Its formation energy from the elements is -264.7 meV/atom.